# 1
The following is a SCAN calculation of a PBEsol-optimized structure of Cs2PSe5, from Alexandria via LeMat-Bulk.

Values from the calculation:
Its magnetization is 0.00 Bohr magnetons per cell. The calculated volume comes out at 547.6 Å³/cell. The calculation puts the density at 4.19 g cm⁻³. As for the total energy: -0.8848 Ha/atom.

Geometry as CIF:
```
data_Cs2PSe5
_symmetry_space_group_name_H-M 'P -1'
_symmetry_Int_Tables_number 2
_cell_length_a 7.305
_cell_length_b 7.452
_cell_length_c 10.127
_cell_angle_alpha 84.71
_cell_angle_beta 87.90
_cell_angle_gamma 86.35
loop_
_symmetry_equiv_pos_as_xyz
'x,y,z'
'-x,-y,-z'
loop_
_atom_site_label
_atom_site_fract_x
_atom_site_fract_y
_atom_site_fract_z
Cs1 0.197 0.358 0.365
Cs2 0.217 0.776 0.965
P1 0.249 0.293 0.777
Se1 0.012 0.170 0.707
Se2 0.276 0.268 0.994
Se3 0.306 0.550 0.668
Se4 0.397 0.894 0.461
Se5 0.490 0.901 0.238
```

# 2
The following is a SCAN calculation of a PBEsol-optimized structure of CsPSe3, from Alexandria via LeMat-Bulk.

Values from the calculation:
Its magnetization is 0.00 Bohr magnetons per cell. The calculated volume comes out at 127.1 Å³/cell. The calculation puts the density at 5.24 g cm⁻³. As for the total energy: -0.8025 Ha/atom.

Geometry as CIF:
```
data_CsPSe3
_symmetry_space_group_name_H-M 'P m -3 m'
_symmetry_Int_Tables_number 221
_symmetry_space_group_name_Hall '-P 4 2 3'
_cell_length_a 5.028
_cell_length_b 5.028
_cell_length_c 5.028
_cell_angle_alpha 90.00
_cell_angle_beta 90.00
_cell_angle_gamma 90.00
loop_
_atom_site_label
_atom_site_fract_x
_atom_site_fract_y
_atom_site_fract_z
Cs1 0.000 0.000 0.000
P1 0.500 0.500 0.500
Se1 0.000 0.500 0.500
```

# 3
The following is a SCAN calculation of a PBEsol-optimized structure of Cs3PSe, from Alexandria via LeMat-Bulk.

Values from the calculation:
Its magnetization is 2.03 Bohr magnetons per cell. The calculated volume comes out at 308.0 Å³/cell. The calculation puts the density at 2.74 g cm⁻³. As for the total energy: -1.0700 Ha/atom.

Geometry as CIF:
```
data_Cs3PSe
_symmetry_space_group_name_H-M 'P m -3 m'
_symmetry_Int_Tables_number 221
_symmetry_space_group_name_Hall '-P 4 2 3'
_cell_length_a 6.753
_cell_length_b 6.753
_cell_length_c 6.753
_cell_angle_alpha 90.00
_cell_angle_beta 90.00
_cell_angle_gamma 90.00
loop_
_atom_site_label
_atom_site_fract_x
_atom_site_fract_y
_atom_site_fract_z
Cs1 0.000 0.000 0.500
P1 0.500 0.500 0.500
Se1 0.000 0.000 0.000
```

Energy relative to the elements, uncorrected (computed, meV/atom): -775, -148, -333